No. 1
# Mn2GaNiN

Crystalline Mn2GaNiN at its relaxed geometry (PBE-GGA, Alexandria).

Total magnetization, μB per formula unit: 3.51
E, Ry per atom: -0.540

The structure in CIF format:
```
data_Mn2GaNiN
_symmetry_space_group_name_H-M 'P 4/m m m'
_symmetry_Int_Tables_number 123
_symmetry_space_group_name_Hall '-P 4 2'
_cell_length_a 3.769
_cell_length_b 3.769
_cell_length_c 3.884
_cell_angle_alpha 90.00
_cell_angle_beta 90.00
_cell_angle_gamma 90.00
loop_
_atom_site_label
_atom_site_type_symbol
_atom_site_fract_x
_atom_site_fract_y
_atom_site_fract_z
Mn1 Mn 0.000 0.500 0.000
Ga1 Ga 0.000 0.000 0.500
Ni1 Ni 0.500 0.500 0.500
N1 N 0.500 0.500 0.000
```

---

No. 2
# MnGaNi2N

Crystalline MnGaNi2N at its relaxed geometry (PBE-GGA, Alexandria).

Total magnetization, μB per formula unit: 1.96
E, Ry per atom: -0.486

The structure in CIF format:
```
data_MnGaNi2N
_symmetry_space_group_name_H-M 'P 4/m m m'
_symmetry_Int_Tables_number 123
_symmetry_space_group_name_Hall '-P 4 2'
_cell_length_a 3.798
_cell_length_b 3.798
_cell_length_c 3.821
_cell_angle_alpha 90.00
_cell_angle_beta 90.00
_cell_angle_gamma 90.00
loop_
_atom_site_label
_atom_site_type_symbol
_atom_site_fract_x
_atom_site_fract_y
_atom_site_fract_z
Mn1 Mn 0.000 0.000 0.000
Ga1 Ga 0.500 0.500 0.000
Ni1 Ni 0.000 0.500 0.500
N1 N 0.000 0.000 0.500
```

---

E of number 1 (Mn2GaNiN)?
-0.540 Ry per atom